SrRuSeN2 | Alexandria via LeMat-Bulk | GGA-PBEsol | relaxed; D(E_F) = 5.69 states/eV per cell; energy = -21.80 eV/cell; volume = 21.12 Å³/atom
1.0
4.227 0.000 0.000
0.000 4.227 0.000
0.000 0.000 5.911
Sr Ru Se N
1 1 1 2
Cartesian
0.000 0.000 0.000
2.113 2.113 2.956
0.000 0.000 2.956
0.000 2.113 0.000
2.113 0.000 0.000